Material: KMn2Tl
Method: DFT, GGA-PBEsol
State: relaxed

a = 5.030 Å, b = 5.030 Å, c = 6.824 Å
α = 95.32°, β = 95.32°, γ = 35.29°
Element x y z (fractional)
K (0.000, 0.000, 0.000)
Mn (0.235, 0.235, 0.648)
Mn (0.765, 0.765, 0.352)
Tl (0.500, 0.500, 0.500)

Summary:
Excess energy over the best structure of this formula in the dataset: 0.284 eV/atom
Crystal system: monoclinic
Energy of formation from the pure elements: 824 meV/atom